The following is a meta-GGA SCAN calculation of a crystal of K2SmMoPO8 relaxed with PBEsol, from the Alexandria database. Values from VASP.

Properties
The calculation puts the spin magnetization at 0.00 μB/f.u. The uncorrected energy comes out at -0.5442 Ha/atom.

The structure in Quantum ESPRESSO input format:
```
&SYSTEM
  ibrav = 0, nat = 52, ntyp = 5
/
ATOMIC_SPECIES
K 39.10 K.upf
Sm 150.36 Sm.upf
Mo 95.94 Mo.upf
P 30.97 P.upf
O 16.00 O.upf
CELL_PARAMETERS angstrom
-3.499 6.126 9.844
3.499 -6.126 9.844
3.499 6.126 -9.844
ATOMIC_POSITIONS crystal
K 0.077 0.687 0.453
K 0.234 0.187 0.110
K 0.266 0.375 0.953
K 0.423 0.875 0.610
K 0.577 0.125 0.390
K 0.734 0.625 0.047
K 0.766 0.813 0.890
K 0.923 0.313 0.547
Sm 0.176 0.750 0.926
Sm 0.324 0.250 0.574
Sm 0.676 0.750 0.426
Sm 0.824 0.250 0.074
Mo 0.083 0.833 0.250
Mo 0.417 0.667 0.750
Mo 0.583 0.333 0.250
Mo 0.917 0.167 0.750
P 0.069 0.250 0.319
P 0.431 0.750 0.181
P 0.569 0.250 0.819
P 0.931 0.750 0.681
O 0.057 0.332 0.264
O 0.068 0.832 0.775
O 0.081 0.166 0.814
O 0.107 0.678 0.016
O 0.140 0.413 0.571
O 0.147 0.732 0.314
O 0.158 0.087 0.228
O 0.161 0.090 0.484
O 0.339 0.822 0.929
O 0.342 0.570 0.929
O 0.353 0.666 0.585
O 0.360 0.930 0.272
O 0.393 0.410 0.571
O 0.419 0.232 0.085
O 0.432 0.208 0.764
O 0.443 0.708 0.275
O 0.557 0.292 0.725
O 0.568 0.792 0.236
O 0.581 0.768 0.915
O 0.607 0.590 0.429
O 0.640 0.070 0.728
O 0.647 0.334 0.415
O 0.658 0.430 0.071
O 0.661 0.178 0.071
O 0.839 0.910 0.516
O 0.842 0.913 0.772
O 0.853 0.268 0.686
O 0.860 0.587 0.429
O 0.893 0.322 0.984
O 0.919 0.834 0.186
O 0.932 0.168 0.225
O 0.943 0.668 0.736
```